# 1
Here is a relaxed Ba2ZrOs crystal from Alexandria via LeMat-Bulk. Energies are from PBE.

Cell: 5.448 5.448 5.448 Å, 60.00 60.00 60.00°
Each line ends with the local moment (μB).
Fractional coordinates of all 4 atoms:
Zr  0.000  0.000  0.000  0.88
Ba  0.750  0.750  0.750  0.10
Ba  0.250  0.250  0.250  0.10
Os  0.500  0.500  0.500  -0.12

Magnetic moment   1.53 μB/cell
ΔH_f (0 K)   118.28 kJ per mole of atoms
DOS at the Fermi energy   1.879 states/eV/atom
Offset from the most stable computed form   1021 meV/atom
E   -18.72 eV/cell
Space-group type   No. 225

# 2
Here is a relaxed La5GeRh2 crystal from Alexandria via LeMat-Bulk. Energies are from PBE.

Cell: 8.028 8.028 8.861 Å, 116.94 116.94 90.00°
Fractional coordinates of all 16 atoms:
Ge  0.750  0.750  0.500
Ge  0.250  0.250  0.500
Rh  0.364  0.864  0.000
Rh  0.864  0.636  0.000
Rh  0.636  0.136  0.000
Rh  0.136  0.364  0.000
La  0.522  0.695  0.718
La  0.022  0.522  0.718
La  0.305  0.805  0.282
La  0.500  0.500  0.000
La  0.478  0.305  0.282
La  0.695  0.195  0.718
La  0.805  0.978  0.282
La  0.000  0.000  0.000
La  0.195  0.022  0.718
La  0.978  0.478  0.282

Magnetic moment   0.00 μB/cell
ΔH_f (0 K)   -63.68 kJ per mole of atoms
DOS at the Fermi energy   1.084 states/eV/atom
E   -98.47 eV/cell
Space-group type   No. 140

# 3
Here is a relaxed LiGaSi crystal from Alexandria via LeMat-Bulk. Energies are from PBE.

Cell: 4.185 6.189 6.189 Å, 144.09 90.00 90.00°
Fractional coordinates of all 6 atoms:
Ga  0.500  0.762  0.238
Ga  0.000  0.934  0.066
Si  0.000  0.249  0.751
Si  0.000  0.599  0.401
Li  0.500  0.425  0.575
Li  0.500  0.098  0.902

Magnetic moment   0.00 μB/cell
DOS at the Fermi energy   0.325 states/eV/atom
Formation energy without anion corrections   -0.19 eV per formula unit
E   -21.11 eV/cell
Space-group type   No. 38

# 4
Here is a relaxed ScMnNiCl2 crystal from Alexandria via LeMat-Bulk. Energies are from PBE.

Cell: 4.467 5.852 4.467 Å, 90.00 90.00 90.00°
Each line ends with the local moment (μB).
Fractional coordinates of all 5 atoms:
Cl  0.500  0.000  0.000  0.09
Cl  0.000  0.000  0.500  0.03
Sc  0.000  0.500  0.000  -0.47
Mn  0.000  0.000  0.000  3.33
Ni  0.500  0.500  0.500  0.65

Magnetic moment   3.65 μB/cell
DOS at the Fermi energy   1.962 states/eV/atom
Formation energy without anion corrections   1.33 eV per formula unit
E   -23.65 eV/cell
Space-group type   No. 123